DFT (PBE with a Hubbard U) results for a geometry-optimized VPtOF2 structure.

The structure belongs to space group P4/mmm (No. 123); the cell edges are 4.408, 4.408 and 3.925 Å and the angles 90.00°, 90.00° and 90.00°. The distinct sites, in fractional coordinates, are V at (0.000, 0.000, 0.000), Pt at (0.500, 0.500, 0.500), O at (0.500, 0.500, 0.000) and F at (0.000, 0.500, 0.500).

Its density of states at the Fermi level is 3.99 states/eV/cell. The offset from the most stable computed form is 593 meV/atom. The density is 6.5 g cm⁻³.